Entry 1:
Density functional theory data (PBE-GGA) for a relaxed LiAcPrNi crystal.

Lattice parameters (Å, degrees): 5.261 5.261 5.261 60.00 60.00 60.00
Positions (direct):
1 Ni 0.250 0.250 0.250
2 Pr 0.500 0.500 0.500
3 Li 0.750 0.750 0.750
4 Ac 0.000 0.000 0.000

energy relative to the elements	0.0095	eV per atom
space-group type	F-43m (216)

Entry 2:
Density functional theory data (PBE-GGA) for a relaxed LiAcNiPt crystal.

Lattice parameters (Å, degrees): 4.739 4.739 4.739 60.00 60.00 60.00
Positions (direct):
1 Li 0.000 0.000 0.000
2 Pt 0.750 0.750 0.750
3 Ac 0.250 0.250 0.250
4 Ni 0.500 0.500 0.500

energy relative to the elements	-0.3484	eV per atom
space-group type	F-43m (216)

Entry 3:
Density functional theory data (PBE-GGA) for a relaxed LiAcNiRh crystal.

Lattice parameters (Å, degrees): 4.789 4.789 4.789 60.00 60.00 60.00
Positions (direct):
1 Li 0.000 0.000 0.000
2 Rh 0.750 0.750 0.750
3 Ni 0.250 0.250 0.250
4 Ac 0.500 0.500 0.500

energy relative to the elements	-0.1069	eV per atom
space-group type	F-43m (216)

Entry 4:
Density functional theory data (PBE-GGA) for a relaxed LiAc2Ni3Sb4 crystal.

Lattice parameters (Å, degrees): 4.624 4.624 10.318 90.00 90.00 90.00
Positions (direct):
1 Ni 0.000 0.500 0.116
2 Ni 0.500 0.000 0.884
3 Ni 0.000 0.000 0.500
4 Li 0.500 0.500 0.500
5 Sb 0.000 0.500 0.368
6 Sb 0.500 0.000 0.632
7 Sb 0.000 0.000 0.000
8 Sb 0.500 0.500 0.000
9 Ac 0.500 0.000 0.255
10 Ac 0.000 0.500 0.745

E_form (uncorrected)	-0.711	eV/atom
space-group type	P-4m2 (115)

Entry 5:
Density functional theory data (PBE-GGA) for a relaxed LiAc2Ni4Sb3 crystal.

Lattice parameters (Å, degrees): 4.493 4.493 10.238 90.00 90.00 90.00
Positions (direct):
1 Ni 0.500 0.000 0.624
2 Ni 0.000 0.000 0.000
3 Ni 0.500 0.500 0.000
4 Ni 0.000 0.500 0.376
5 Sb 0.000 0.000 0.500
6 Sb 0.500 0.000 0.874
7 Sb 0.000 0.500 0.126
8 Li 0.500 0.500 0.500
9 Ac 0.500 0.000 0.243
10 Ac 0.000 0.500 0.757

E_form (uncorrected)	-0.614	eV/atom
space-group type	P-4m2 (115)

Entry 6:
Density functional theory data (PBE-GGA) for a relaxed LiAcNiSb2 crystal.

Lattice parameters (Å, degrees): 4.518 4.518 6.476 110.42 110.42 90.00
Positions (direct):
1 Li 0.750 0.250 0.500
2 Ac 0.000 0.000 0.000
3 Ni 0.250 0.750 0.500
4 Sb 0.636 0.636 0.271
5 Sb 0.364 0.364 0.729

E_form (uncorrected)	-0.692	eV/atom
space-group type	I-4m2 (119)

For reference, DOS at the Fermi energy by record: 0.73, 0.31, 0.69, 0.28, 0.68, 0.44 states/eV/atom.
For reference, magnetic moment by record: 0.00, 0.00, 0.00, 0.00, 0.00, 0.00 μB per cell.
For reference, theoretical density by record: 7.0, 10.8, 8.5, 8.5, 8.5, 7.7 g/cm³.